(1)
Below is Zr3CdHg2 after structural relaxation, with properties calculated at the GGA-PBE level.

The formation energy comes out at -0.15 eV per atom. The calculation puts the calculated total energy at -4.67 eV per atom.

Cell lengths 3.183, 3.183, 12.824 Å; angles 90.00, 90.00, 90.00 degrees
Space group P4/mmm (No. 123)
One atom of each set of equivalent atoms:
Zr  0.000  0.000  0.000 (multiplicity 1)
Zr  0.000  0.000  0.331 (multiplicity 2)
Cd  0.500  0.500  0.500 (multiplicity 1)
Hg  0.500  0.500  0.166 (multiplicity 2)

***

(2)
Below is CeSm4N4 after structural relaxation, with properties calculated at the GGA-PBE level.

The value obtained for the uncorrected formation energy is -0.7579 eV/atom. The excess energy over the best structure of this formula in the dataset comes out at 563 meV per atom. The calculation puts the calculated total energy at -7.21 eV per atom.

Cell lengths 5.809, 5.809, 11.138 Å; angles 90.00, 90.00, 90.00 degrees
Space group I-42m (No. 121)
One atom of each set of equivalent atoms:
Ce  0.000  0.000  0.000 (multiplicity 2)
Sm  0.000  0.000  0.282 (multiplicity 4)
Sm  0.000  0.500  0.000 (multiplicity 4)
N  0.236  0.236  0.123 (multiplicity 8)

***

(3)
Below is Rb3Pm3IO8 after structural relaxation, with properties calculated at the GGA-PBE level.

The value obtained for the uncorrected formation energy is -2.0874 eV/atom. The calculation puts the calculated total energy at -5.98 eV per atom.

Cell lengths 12.793, 7.082, 7.809 Å; angles 90.00, 121.91, 90.00 degrees
Space group C2/m (No. 12)
One atom of each set of equivalent atoms:
Rb  0.000  0.000  0.000 (multiplicity 2)
Rb  0.250  0.250  0.000 (multiplicity 4)
Pm  0.000  0.500  0.500 (multiplicity 2)
Pm  0.250  0.250  0.500 (multiplicity 4)
I  0.000  0.000  0.500 (multiplicity 2)
O  0.026  0.225  0.340 (multiplicity 8)
O  0.218  0.500  0.675 (multiplicity 4)
O  0.243  0.500  0.299 (multiplicity 4)

***

(4)
Below is Pr6Sm12In after structural relaxation, with properties calculated at the GGA-PBE level.

The formation energy comes out at 0.06 eV per atom. The calculation puts the calculated total energy at -4.57 eV per atom.

Cell lengths 12.1642, 12.1642, 15.2758 Å; angles 90.00, 90.00, 120.00 degrees
Space group R-3 (No. 148, hexagonal axes)
One atom of each set of equivalent atoms:
Pr  0.0155  0.5911  0.1850 (multiplicity 18)
Sm  0.0031  0.8298  0.3144 (multiplicity 18)
Sm  0.0470  0.1963  0.9163 (multiplicity 18)
In  0.0000  0.0000  0.5000 (multiplicity 3)

***

(5)
Below is Mn3Zn8N8 after structural relaxation, with properties calculated at the GGA-PBE level.

The value obtained for the uncorrected formation energy is 0.1223 eV/atom. The calculation puts the calculated total energy at -5.37 eV per atom.

Cell lengths 19.889, 3.615, 6.872 Å; angles 90.00, 92.49, 90.00 degrees
Space group C2/m (No. 12)
One atom of each set of equivalent atoms:
Mn  0.000  0.000  0.000 (multiplicity 2)
Mn  0.169  0.500  0.230 (multiplicity 4)
Zn  0.061  0.500  0.764 (multiplicity 4)
Zn  0.068  0.000  0.430 (multiplicity 4)
Zn  0.177  0.000  0.930 (multiplicity 4)
Zn  0.208  0.500  0.605 (multiplicity 4)
N  0.022  0.000  0.724 (multiplicity 4)
N  0.118  0.500  0.443 (multiplicity 4)
N  0.140  0.500  0.977 (multiplicity 4)
N  0.240  0.000  0.704 (multiplicity 4)

***

(6)
Below is Sm5Cd3In after structural relaxation, with properties calculated at the GGA-PBE level.

The formation energy comes out at -0.26 eV per atom. The calculation puts the calculated total energy at -3.49 eV per atom.

Cell lengths 9.4435, 9.4435, 6.7236 Å; angles 90.00, 90.00, 120.00 degrees
Space group P6_3/mcm (No. 193)
One atom of each set of equivalent atoms:
Sm  0.0000  0.2991  0.2500 (multiplicity 6)
Sm  0.3333  0.6667  0.0000 (multiplicity 4)
Cd  0.0000  0.3637  0.7500 (multiplicity 6)
In  0.0000  0.0000  0.0000 (multiplicity 2)

***

(7)
Below is TlFeAs2 after structural relaxation, with properties calculated at the GGA-PBE level.

The formation energy comes out at 0.61 eV per atom. The excess energy over the best structure of this formula in the dataset comes out at 577 meV per atom. The calculation puts the calculated total energy at -4.42 eV per atom.

Cell lengths 4.056, 4.056, 9.707 Å; angles 90.00, 90.00, 90.00 degrees
Space group I-4m2 (No. 119)
One atom of each set of equivalent atoms:
Tl  0.000  0.000  0.000 (multiplicity 2)
Fe  0.000  0.500  0.250 (multiplicity 2)
As  0.000  0.000  0.500 (multiplicity 2)
As  0.000  0.500  0.750 (multiplicity 2)

***

(8)
Below is SmSc4Pt5 after structural relaxation, with properties calculated at the GGA-PBE level.

The formation energy comes out at -1.21 eV per atom. The calculation puts the calculated total energy at -7.23 eV per atom.

Cell lengths 3.313, 3.313, 17.126 Å; angles 90.00, 90.00, 90.00 degrees
Space group P4/mmm (No. 123)
One atom of each set of equivalent atoms:
Sm  0.000  0.000  0.000 (multiplicity 1)
Sc  0.000  0.000  0.210 (multiplicity 2)
Sc  0.000  0.000  0.404 (multiplicity 2)
Pt  0.500  0.500  0.122 (multiplicity 2)
Pt  0.500  0.500  0.310 (multiplicity 2)
Pt  0.500  0.500  0.500 (multiplicity 1)